Crystalline NpTaN2 at its relaxed geometry. Source: the Alexandria database, functional PBE.

Computed properties:
formation energy without anion corrections = -1006.6 meV per atom
SG = R3m, No. 160

Unit cell a=3.1680 b=3.1680 c=6.0844 alpha=74.91 beta=74.91 gamma=60.00
Closest atoms and distances in Å follow each position.
Sites, in units of the cell vectors:
Ta  0.6700  0.6700  0.9900  6 N 2.18-2.22
N  0.2644  0.2644  0.2068  3 Ta 2.22
N  0.0711  0.0711  0.7867  3 Ta 2.18, 3 Np 2.41
Np  0.4945  0.4945  0.5166  6 N 2.41-2.56